Entry 1:
8
Lattice="3.1066 0.0000 0.0000 0.0000 4.8262 0.0000 0.0000 0.0000 8.3236" Properties=species:S:1:pos:R:3 comment="meta-GGA SCAN ZrSi2Tc, single point on PBEsol structure" space_group="Immm (71)" e_tot_ev_per_atom=-21.72 e_above_lowest_polymorph_ev_per_atom=0.257 dos_at_fermi_per_ev_atom=0.606 pbc="T T T"
Zr 0.0000 0.0000 0.0000
Zr 1.5533 2.4131 4.1618
Si 0.0000 2.4131 1.9178
Si 0.0000 2.4131 6.4058
Si 1.5533 0.0000 2.2440
Si 1.5533 0.0000 6.0796
Tc 0.0000 0.0000 4.1618
Tc 1.5533 2.4131 0.0000

***

Entry 2:
5
Lattice="5.1326 0.0000 0.0000 0.0000 5.1326 0.0000 0.0000 0.0000 4.5820" Properties=species:S:1:pos:R:3 comment="meta-GGA SCAN CoOsSeBr2, single point on PBEsol structure" space_group="P4/mmm (123)" e_tot_ev_per_atom=-28.67 dos_at_fermi_per_ev_atom=1.239 pbc="T T T"
Co 0.0000 0.0000 0.0000
Os 2.5663 2.5663 2.2910
Se 2.5663 2.5663 0.0000
Br 0.0000 2.5663 2.2910
Br 2.5663 0.0000 2.2910

***

Entry 3:
6
Lattice="0.0000 2.9788 2.9788 2.9788 0.0000 2.9788 2.9788 2.9788 0.0000" Properties=species:S:1:pos:R:3 comment="meta-GGA SCAN Be4CoOs, single point on PBEsol structure" e_form_kj_per_mol_atoms=-27.2 space_group="F-43m (216)" e_tot_ev_per_atom=-18.05 dos_at_fermi_per_ev_atom=0.447 pbc="T T T"
Be 2.2372 2.2372 2.2372
Be 3.7204 3.7204 2.2372
Be 3.7204 2.2372 3.7204
Be 2.2372 3.7204 3.7204
Co 0.0000 0.0000 0.0000
Os 4.4682 4.4682 4.4682

***

Entry 4:
4
Lattice="4.8973 0.0000 0.0000 0.0000 4.1568 0.0000 -1.9838 0.0000 5.5784" Properties=species:S:1:pos:R:3 comment="meta-GGA SCAN BaBeBr2, single point on PBEsol structure" space_group="Pm (6)" e_tot_ev_per_atom=-21.74 e_above_lowest_polymorph_ev_per_atom=0.000 pbc="T T T"
Ba 0.0000 0.0000 0.0000
Be 0.8939 2.0784 2.2560
Br 0.4642 2.0784 4.4887
Br 2.4325 0.0000 2.2634

***

Entry 5:
8
Lattice="6.1952 0.0000 0.0000 0.0000 10.1316 0.0000 -1.3535 0.0000 2.6214" Properties=species:S:1:pos:R:3 comment="meta-GGA SCAN KAg2As, single point on PBEsol structure" e_form_kj_per_mol_atoms=17.4 space_group="C2/m (12)" e_tot_ev_per_atom=-22.63 dos_at_fermi_per_ev_atom=0.184 pbc="T T T"
K 0.0000 0.0000 0.0000
K 3.0976 5.0658 0.0000
Ag 0.8721 2.5329 1.3107
Ag 0.8721 7.5987 1.3107
Ag 3.9697 2.5329 1.3107
Ag 3.9697 7.5987 1.3107
As 0.0000 5.0658 0.0000
As 3.0976 0.0000 0.0000

***

Entry 6:
8
Lattice="5.5021 0.0000 0.0000 0.0000 7.4242 0.0000 0.0000 0.0000 2.8346" Properties=species:S:1:pos:R:3 comment="meta-GGA SCAN ScRh3, single point on PBEsol structure" e_form_kj_per_mol_atoms=-55.6 space_group="Cmmm (65)" e_tot_ev_per_atom=-29.46 dos_at_fermi_per_ev_atom=0.765 pbc="T T T"
Sc 0.0000 0.0000 0.0000
Sc 2.7511 3.7121 0.0000
Rh 0.0000 3.7121 0.0000
Rh 1.3755 1.8561 1.4173
Rh 1.3755 5.5682 1.4173
Rh 2.7511 0.0000 0.0000
Rh 4.1266 1.8561 1.4173
Rh 4.1266 5.5682 1.4173

***

Entry 7:
5
Lattice="4.5864 0.0000 0.0000 0.0000 4.5864 0.0000 0.0000 0.0000 4.5864" Properties=species:S:1:pos:R:3 comment="meta-GGA SCAN KNb3S, single point on PBEsol structure" space_group="Pm-3m (221)" e_tot_ev_per_atom=-20.63 dos_at_fermi_per_ev_atom=0.753 pbc="T T T"
K 0.0000 0.0000 0.0000
Nb 0.0000 0.0000 2.2932
Nb 0.0000 2.2932 0.0000
Nb 2.2932 0.0000 0.0000
S 2.2932 2.2932 2.2932

***

Entry 8:
5
Lattice="5.4190 0.0000 0.0000 0.0000 5.4190 0.0000 0.0000 0.0000 5.4190" Properties=species:S:1:pos:R:3 comment="meta-GGA SCAN CdGaBi3, single point on PBEsol structure" e_form_kj_per_mol_atoms=57.0 space_group="Pm-3m (221)" e_tot_ev_per_atom=-55.91 dos_at_fermi_per_ev_atom=0.706 pbc="T T T"
Cd 0.0000 0.0000 0.0000
Ga 2.7095 2.7095 2.7095
Bi 0.0000 2.7095 2.7095
Bi 2.7095 0.0000 2.7095
Bi 2.7095 2.7095 0.0000

***

Entry 9:
5
Lattice="4.3212 0.0000 0.0000 0.0000 4.3212 0.0000 0.0000 0.0000 5.6060" Properties=species:S:1:pos:R:3 comment="meta-GGA SCAN LiTlSeN2, single point on PBEsol structure" space_group="P4/mmm (123)" e_tot_ev_per_atom=-21.39 dos_at_fermi_per_ev_atom=0.463 pbc="T T T"
Li 0.0000 0.0000 0.0000
Tl 2.1606 2.1606 2.8030
Se 2.1606 2.1606 0.0000
N 0.0000 2.1606 2.8030
N 2.1606 0.0000 2.8030

***

Entry 10:
10
Lattice="0.0000 4.2588 4.2588 4.2588 0.0000 4.2588 4.2588 4.2588 0.0000" Properties=species:S:1:pos:R:3 comment="meta-GGA SCAN K2NaAsF6, single point on PBEsol structure" space_group="Fm-3m (225)" e_tot_ev_per_atom=-8.89 dos_at_fermi_per_ev_atom=0.000 pbc="T T T"
K 2.1294 2.1294 2.1294
K 6.3882 6.3882 6.3882
Na 0.0000 0.0000 0.0000
As 4.2588 4.2588 4.2588
F 4.2588 4.2588 2.2170
F 4.2588 2.2170 4.2588
F 6.3007 4.2588 4.2588
F 2.2170 4.2588 4.2588
F 4.2588 6.3007 4.2588
F 4.2588 4.2588 6.3007

***

Entry 11:
5
Lattice="5.5922 0.0000 0.0000 0.0000 5.5922 0.0000 0.0000 0.0000 5.5922" Properties=species:S:1:pos:R:3 comment="meta-GGA SCAN Ba3CuC, single point on PBEsol structure" e_form_kj_per_mol_atoms=54.4 space_group="Pm-3m (221)" e_tot_ev_per_atom=-28.23 e_above_lowest_polymorph_ev_per_atom=0.000 dos_at_fermi_per_ev_atom=1.370 pbc="T T T"
Ba 0.0000 0.0000 2.7961
Ba 0.0000 2.7961 0.0000
Ba 2.7961 0.0000 0.0000
Cu 2.7961 2.7961 2.7961
C 0.0000 0.0000 0.0000

***

Entry 12:
4
Lattice="3.1348 0.0000 0.0000 0.0000 4.5166 0.0000 -1.3960 0.0000 5.5057" Properties=species:S:1:pos:R:3 comment="meta-GGA SCAN MgZnCd2, single point on PBEsol structure" e_form_kj_per_mol_atoms=-2.3 space_group="P2/m (10)" e_tot_ev_per_atom=-19.85 e_above_lowest_polymorph_ev_per_atom=0.019 dos_at_fermi_per_ev_atom=0.301 pbc="T T T"
Mg 0.0000 0.0000 0.0000
Zn -0.6980 0.0000 2.7529
Cd 0.1362 2.2583 4.0642
Cd 1.6026 2.2583 1.4415